#a
Compound: Tm8Th3Sc2
Source: the Alexandria database
Functional: PBE-GGA
Structure: optimized geometry

a b c (Å): 14.4744 9.2254 6.4173
angles (deg): 90.00 99.49 90.00
Closest atoms and distances in Å follow each position.
Space group C2/m (No. 12)
Asymmetric unit:
Tm: 0.0849 0.0000 0.3798 x4  4 Tm 3.11-3.47, 1 Sc 3.39, 2 Th 3.42
Tm: 0.1146 0.1777 0.9363 x8  6 Tm 3.28-3.63, 2 Th 3.32-3.46, 1 Sc 3.44
Tm: 0.1960 0.5000 0.7713 x4  2 Sc 3.18-3.25, 3 Th 3.40-3.45, 5 Tm 3.43-3.47
Th: 0.0000 0.3297 0.5000 x4  1 Th 3.14, 6 Tm 3.32-3.45
Th: 0.0000 0.5000 0.0000 x2  2 Sc 3.27, 6 Tm 3.40-3.46, 4 Th 3.57
Sc: 0.2120 0.5000 0.2715 x4  5 Tm 3.18-3.44, 1 Th 3.27

Size of the total moment, μB/cell: 0.00



#b
Compound: Tm8Th3Sc2
Source: the Alexandria database
Functional: PBE-GGA
Structure: optimized geometry

a b c (Å): 6.0522 6.0537 10.9222
angles (deg): 90.17 100.34 99.79
Closest atoms and distances in Å follow each position.
Space group P-1 (No. 2)
Asymmetric unit:
Tm: 0.0374 0.4223 0.1560 x2  1 Sc 3.46, 6 Tm 3.46-3.54, 5 Th 3.47-3.50
Tm: 0.1931 0.1096 0.7645 x2  2 Sc 3.40-3.43, 6 Tm 3.46-3.54, 4 Th 3.49-3.52
Tm: 0.3427 0.8072 0.3881 x2  7 Tm 3.39-3.50, 4 Sc 3.41-3.51, 1 Th 3.51
Tm: 0.4242 0.6522 0.6889 x2  7 Tm 3.39-3.51, 3 Sc 3.43-3.49, 2 Th 3.49-3.51
Th: 0.2670 0.9610 0.0760 x2  4 Th 3.47-3.49, 8 Tm 3.47-3.51
Th: 0.5000 0.5000 0.0000 x1  4 Th 3.49, 8 Tm 3.49-3.52
Sc: 0.1132 0.2696 0.4636 x2  10 Tm 3.40-3.51, 2 Sc 3.46-3.47

Size of the total moment, μB/cell: 0.00



In terms of stability, #b leads; the second structure lies 0.267 eV/atom higher.



#a
Compound: Tm8Th2Sc
Source: the Alexandria database
Functional: PBE-GGA
Structure: optimized geometry

a b c (Å): 16.3645 6.4976 6.4993
angles (deg): 90.00 100.81 90.00
Closest atoms and distances in Å follow each position.
Space group C2/m (No. 12)
Asymmetric unit:
Tm: 0.0827 0.2421 0.3925 x8  1 Sc 3.14, 4 Tm 3.15-3.43, 2 Th 3.25-3.37
Tm: 0.0923 0.0000 0.9089 x4  1 Th 3.33, 8 Tm 3.45-3.68, 2 Sc 3.68
Tm: 0.1919 0.5000 0.8176 x4  4 Th 3.35-3.60, 5 Tm 3.43-3.73, 1 Sc 3.56
Th: 0.2478 0.5000 0.3405 x4  9 Tm 3.25-3.60
Sc: 0.0000 0.5000 0.0000 x2  4 Tm 3.14

Size of the total moment, μB/cell: 0.00



#b
Compound: Tm8Th2Sc
Source: the Alexandria database
Functional: PBE-GGA
Structure: optimized geometry

a b c (Å): 8.7675 15.6252 5.8554
angles (deg): 90.00 122.46 90.00
Closest atoms and distances in Å follow each position.
Space group C2/m (No. 12)
Asymmetric unit:
Tm: 0.0000 0.2062 0.0000 x4  1 Sc 3.22, 2 Th 3.31, 4 Tm 3.56-3.61
Tm: 0.0853 0.5000 0.8001 x4  3 Tm 2.99-3.17, 1 Sc 3.17
Tm: 0.2163 0.1141 0.6684 x8  3 Tm 3.17-3.40, 2 Th 3.38
Th: 0.0000 0.3046 0.5000 x4  8 Tm 3.31-3.40
Sc: 0.0000 0.0000 0.0000 x2  4 Tm 3.17-3.22

Size of the total moment, μB/cell: 0.00



In terms of stability, #a leads; the second structure lies 0.024 eV/atom higher.